VASP calculation (GGA+U) on an optimized crystal structure of La3CdFe4O12.

Cell and atoms, written as POSCAR:
```
La3CdFe4O12
1.0
-6.2343 -0.4676 -4.8008
3.1508 -2.3729 -3.8605
-1.2063 -4.9730 2.0509
La O Cd Fe
3 12 1 4
Direct
0.5000 0.9947 0.0311
0.5000 0.5096 0.5323
0.0000 0.0056 0.9668
0.2268 0.2005 0.2056
0.0000 0.9128 0.5015
0.2804 0.7911 0.7861
0.2009 0.2881 0.7046
0.6986 0.7243 0.2823
0.3014 0.7243 0.2823
0.5000 0.4361 0.9779
0.7732 0.2005 0.2056
0.7991 0.2881 0.7046
0.5000 0.0713 0.5081
0.7196 0.7911 0.7861
0.0000 0.5661 0.0468
0.0000 0.4959 0.4751
0.2451 0.5007 0.0041
0.7534 0.9994 0.4975
0.7549 0.5007 0.0041
0.2466 0.9994 0.4975
```

Values from the calculation:
- total magnetization (μB/f.u.) = 14.980
- electronic total energy (eV per cell) = -139.623